Entry from Alexandria via LeMat-Bulk: an optimized crystal structure of ZrTiCd (PBE).

a b c (Å): 3.1494 3.1494 7.3762
angles (deg): 90.00 90.00 120.00
Last column: nearest neighbours and their distance in Å.
Space group P3m1 (No. 156)
Inequivalent atoms, fractional coordinates:
Zr  0.0000  0.0000  0.0000  3 Ti 2.93, 6 Zr 3.15, 3 Cd 3.21
Ti  0.3333  0.6667  0.6888  3 Zr 2.93, 3 Cd 3.04, 6 Ti 3.15
Cd  0.6667  0.3333  0.3589  3 Ti 3.04, 6 Cd 3.15, 3 Zr 3.21

Distance to the lowest polymorph of the same formula (kJ/mol of formula units): 22.8
Energy of formation from the pure elements (meV/atom): 28

***

Entry from Alexandria via LeMat-Bulk: an optimized crystal structure of Ti2Ga4Au (PBE).

a b c (Å): 4.9283 4.9283 12.9464
angles (deg): 90.00 90.00 90.00
Last column: nearest neighbours and their distance in Å.
Space group I4/mmm (No. 139)
Inequivalent atoms, fractional coordinates:
Ti  0.0000  0.0000  0.0958  1 Ti 2.48, 5 Ga 2.63-2.76
Ga  0.0000  0.0000  0.2992  1 Au 2.60, 1 Ti 2.63
Ga  0.0000  0.5000  0.0000  2 Au 2.46, 4 Ti 2.76
Au  0.0000  0.0000  0.5000  6 Ga 2.46-2.60

Distance to the lowest polymorph of the same formula (kJ/mol of formula units): 348.9
Energy of formation from the pure elements (meV/atom): 271

***

Entry from Alexandria via LeMat-Bulk: an optimized crystal structure of CaEuHo2 (PBE).

a b c (Å): 8.2370 8.2370 8.2370
angles (deg): 90.00 90.00 90.00
Last column: nearest neighbours and their distance in Å.
Space group Fm-3m (No. 225)
Inequivalent atoms, fractional coordinates:
Ca  0.0000  0.0000  0.0000  8 Ho 3.57
Eu  0.0000  0.0000  0.5000  8 Ho 3.57
Ho  0.2500  0.2500  0.2500  4 Ca 3.57, 4 Eu 3.57

Distance to the lowest polymorph of the same formula (kJ/mol of formula units): 10.5
Energy of formation from the pure elements (meV/atom): 181

***

Entry from Alexandria via LeMat-Bulk: an optimized crystal structure of MnRhCl3 (PBE).

a b c (Å): 4.8097 4.8097 4.8097
angles (deg): 90.00 90.00 90.00
Last column: nearest neighbours and their distance in Å.
Space group Pm-3m (No. 221)
Inequivalent atoms, fractional coordinates:
Mn  0.0000  0.0000  0.0000  12 Cl 3.40
Rh  0.5000  0.5000  0.5000  6 Cl 2.40
Cl  0.0000  0.5000  0.5000  2 Rh 2.40

Distance to the lowest polymorph of the same formula (kJ/mol of formula units): 0.0
Formation energy without anion corrections (eV/atom): -0.0010

***

| no. | density (g/cm3) | magnetic moment (Bohr magnetons per cell) | calculated total energy (eV per formula unit) |
| --- | --- | --- | --- |
| 1 | 6.59 | 0.000 | -17.275 |
| 2 | 6.04 | 0.001 | -29.274 |
| 3 | 6.20 | 29.491 | -20.706 |
| 4 | 3.94 | 5.355 | -22.066 |